KCoB2F8 | GGA+U | relaxed

- VASP energy (eV/atom) = -5.485
- magnetic moment (μB/f.u.) = 2.0

Lattice parameters (Å, degrees): 4.9636 4.9636 22.3855 90.00 90.00 120.00
Space group R-3 (No. 148, hexagonal axes)
Asymmetric unit:
K: 0.0000 0.0000 0.0000
Co: 0.0000 0.0000 0.5000
B: 0.0000 0.0000 0.2469
F: 0.0000 0.0000 0.3105
F: 0.0006 0.2712 0.2269